Run P
Density functional theory data (PBE-GGA) for a geometry-optimized Tb5Pm2Ho structure.

Output
Magnetic moment ... 0.00 μB per cell
Theoretical density ... 8.0 g cm⁻³

Lattice parameters (Å, degrees): 7.161 14.321 5.052 90.00 90.00 90.00
Space group Pbam (No. 55)
One atom of each set of equivalent atoms:
Tb1 0.000 0.000 0.000 x2
Tb2 0.001 0.250 0.000 x4
Tb3 0.249 0.875 0.500 x4
Pm1 0.250 0.125 0.500 x4
Ho1 0.000 0.500 0.000 x2

---

Run Q
Density functional theory data (PBE-GGA) for a geometry-optimized Tb5Pm2Ho structure.

Output
Magnetic moment ... 0.00 μB per cell
Theoretical density ... 7.8 g cm⁻³

Lattice parameters (Å, degrees): 5.900 10.839 8.655 90.00 107.02 90.00
Space group P2_1/m (No. 11)
One atom of each set of equivalent atoms:
Tb1 0.204 0.083 0.231 x4
Tb2 0.251 0.750 0.558 x2
Tb3 0.296 0.087 0.626 x4
Pm1 0.344 0.608 0.951 x4
Ho1 0.041 0.250 0.867 x2

---

The data favor run P; the next most stable structure lies 16.0 kJ/mol of atoms above it.

---

Run P
Density functional theory data (PBE-GGA) for a geometry-optimized TbPm5Ho structure.

Output
Magnetic moment ... 0.00 μB per cell
Theoretical density ... 5.6 g cm⁻³

Lattice parameters (Å, degrees): 5.881 8.790 12.084 90.00 90.00 90.00
Space group Immm (No. 71)
One atom of each set of equivalent atoms:
Tb1 0.000 0.000 0.000 x2
Pm1 0.000 0.000 0.252 x4
Pm2 0.000 0.323 0.500 x4
Pm3 0.000 0.500 0.000 x2
Ho1 0.000 0.000 0.500 x2

---

Run Q
Density functional theory data (PBE-GGA) for a geometry-optimized TbPm5Ho structure.

Output
Magnetic moment ... 0.00 μB per cell
Theoretical density ... 7.3 g cm⁻³

Lattice parameters (Å, degrees): 6.178 17.608 8.997 90.00 101.44 90.00
Space group C2/c (No. 15)
One atom of each set of equivalent atoms:
Tb1 0.000 0.000 0.000 x4
Pm1 0.000 0.142 0.250 x4
Pm2 0.112 0.347 0.964 x8
Pm3 0.202 0.186 0.646 x8
Ho1 0.000 0.489 0.250 x4

---

The data favor run Q; the next most stable structure lies 80.4 kJ/mol of atoms above it.

---

Run P
Density functional theory data (PBE-GGA) for a geometry-optimized TbPmHo3 structure.

Output
Magnetic moment ... 0.00 μB per cell
Theoretical density ... 7.6 g cm⁻³

Lattice parameters (Å, degrees): 3.600 11.554 8.565 90.00 102.12 90.00
Space group P2_1/m (No. 11)
One atom of each set of equivalent atoms:
Tb1 0.186 0.250 0.370 x2
Pm1 0.486 0.750 0.977 x2
Ho1 0.155 0.750 0.311 x2
Ho2 0.343 0.000 0.686 x4

---

Run Q
Density functional theory data (PBE-GGA) for a geometry-optimized TbPmHo3 structure.

Output
Magnetic moment ... 0.00 μB per cell
Theoretical density ... 8.2 g cm⁻³

Lattice parameters (Å, degrees): 6.290 5.656 9.601 90.00 109.11 90.00
Space group P2_1/m (No. 11)
One atom of each set of equivalent atoms:
Tb1 0.033 0.250 0.400 x2
Pm1 0.432 0.250 0.200 x2
Ho1 0.164 0.750 0.999 x2
Ho2 0.234 0.250 0.800 x2
Ho3 0.365 0.750 0.401 x2

---

The data favor run Q; the next most stable structure lies 28.2 kJ/mol of atoms above it.

---

Run P
Density functional theory data (PBE-GGA) for a geometry-optimized Tb2Pm2Ho3 structure.

Output
Magnetic moment ... 0.00 μB per cell
Theoretical density ... 8.1 g cm⁻³

Lattice parameters (Å, degrees): 11.817 3.569 10.730 90.00 95.85 90.00
Space group C2/m (No. 12)
One atom of each set of equivalent atoms:
Tb1 0.071 0.000 0.288 x4
Pm1 0.214 0.000 0.855 x4
Ho1 0.000 0.500 0.000 x2
Ho2 0.143 0.500 0.570 x4

---

Run Q
Density functional theory data (PBE-GGA) for a geometry-optimized Tb2Pm2Ho3 structure.

Output
Magnetic moment ... 0.00 μB per cell
Theoretical density ... 8.0 g cm⁻³

Lattice parameters (Å, degrees): 17.518 3.505 8.557 90.00 119.17 90.00
Space group C2/m (No. 12)
One atom of each set of equivalent atoms:
Tb1 0.149 0.000 0.333 x4
Pm1 0.067 0.500 0.911 x4
Ho1 0.000 0.000 0.500 x2
Ho2 0.212 0.000 0.801 x4

---

The data favor run P; the next most stable structure lies 10.0 kJ/mol of atoms above it.

---

Run P
Density functional theory data (PBE-GGA) for a geometry-optimized Tb3PmHo3 structure.

Output
Magnetic moment ... 0.00 μB per cell
Theoretical density ... 8.2 g cm⁻³

Lattice parameters (Å, degrees): 9.5737 9.5737 5.6774 90.00 90.00 120.00
Space group P6_3/m (No. 176)
One atom of each set of equivalent atoms:
Tb1 0.0489 0.8109 0.2500 x6
Pm1 0.3333 0.6667 0.2500 x2
Ho1 0.0957 0.6188 0.7500 x6

---

Run Q
Density functional theory data (PBE-GGA) for a geometry-optimized Tb3PmHo3 structure.

Output
Magnetic moment ... 0.00 μB per cell
Theoretical density ... 7.9 g cm⁻³

Lattice parameters (Å, degrees): 8.6288 8.6288 21.7193 90.00 90.00 120.00
Space group R-3 (No. 148, hexagonal axes)
One atom of each set of equivalent atoms:
Tb1 0.0043 0.2332 0.0595 x18
Pm1 0.0000 0.0000 0.3500 x6
Ho1 0.0574 0.4501 0.8798 x18

---

The data favor run P; the next most stable structure lies 21.1 kJ/mol of atoms above it.

---

Run P
Density functional theory data (PBE-GGA) for a geometry-optimized Tb3Pm4Ho5 structure.

Output
Magnetic moment ... 0.90 μB per cell
Theoretical density ... 7.9 g cm⁻³

Lattice parameters (Å, degrees): 16.069 5.923 9.340 90.00 116.43 90.00
Space group C2/m (No. 12)
One atom of each set of equivalent atoms:
Tb1 0.000 0.000 0.000 x2
Tb2 0.211 0.500 0.235 x4
Pm1 0.084 0.500 0.445 x4
Pm2 0.214 0.500 0.882 x4
Ho1 0.000 0.500 0.000 x2
Ho2 0.071 0.000 0.700 x4
Ho3 0.172 0.000 0.386 x4

---

Run Q
Density functional theory data (PBE-GGA) for a geometry-optimized Tb3Pm4Ho5 structure.

Output
Magnetic moment ... 0.00 μB per cell
Theoretical density ... 8.1 g cm⁻³

Lattice parameters (Å, degrees): 6.192 7.147 8.749 90.11 90.03 90.11
Space group P-1 (No. 2)
One atom of each set of equivalent atoms:
Tb1 0.000 0.000 0.000 x1
Tb2 0.168 0.751 0.668 x2
Pm1 0.167 0.248 0.668 x2
Pm2 0.332 0.500 0.331 x2
Ho1 0.000 0.500 0.000 x1
Ho2 0.334 0.000 0.331 x2
Ho3 0.499 0.752 0.000 x2

---

The data favor run Q; the next most stable structure lies 20.6 kJ/mol of atoms above it.

---

Run P
Density functional theory data (PBE-GGA) for a geometry-optimized TbPmHo structure.

Output
Magnetic moment ... 0.00 μB per cell
Theoretical density ... 8.0 g cm⁻³

Lattice parameters (Å, degrees): 3.538 20.305 5.426 90.00 90.00 90.00
Space group Cmcm (No. 63)
One atom of each set of equivalent atoms:
Tb1 0.000 0.041 0.250 x4
Pm1 0.000 0.206 0.250 x4
Ho1 0.000 0.384 0.250 x4

---

Run Q
Density functional theory data (PBE-GGA) for a geometry-optimized TbPmHo structure.

Output
Magnetic moment ... 0.00 μB per cell
Theoretical density ... 8.0 g cm⁻³

Lattice parameters (Å, degrees): 6.241 3.612 8.914 90.00 103.68 90.00
Space group Cm (No. 8)
One atom of each set of equivalent atoms:
Tb1 0.000 0.000 0.000 x2
Pm1 0.058 0.500 0.663 x2
Ho1 0.278 0.500 0.326 x2

---

The data favor run Q; the next most stable structure lies 2.9 kJ/mol of atoms above it.

---

Run P
Density functional theory data (PBE-GGA) for a geometry-optimized TbPmHo structure.

Output
Magnetic moment ... 0.00 μB per cell
Theoretical density ... 7.6 g cm⁻³

Lattice parameters (Å, degrees): 4.855 4.855 8.664 90.00 90.00 90.00
Space group P4/nmm (No. 129, origin choice 2)
One atom of each set of equivalent atoms:
Tb1 0.250 0.250 0.197 x2
Pm1 0.250 0.750 0.500 x2
Ho1 0.250 0.250 0.801 x2

---

Run Q
Density functional theory data (PBE-GGA) for a geometry-optimized TbPmHo structure.

Output
Magnetic moment ... 0.00 μB per cell
Theoretical density ... 8.0 g cm⁻³

Lattice parameters (Å, degrees): 3.578 3.578 15.183 90.00 90.00 90.00
Space group I4mm (No. 107)
One atom of each set of equivalent atoms:
Tb1 0.000 0.000 0.000 x2
Pm1 0.000 0.000 0.669 x2
Ho1 0.000 0.000 0.336 x2

---

The data favor run Q; the next most stable structure lies 20.5 kJ/mol of atoms above it.

---

Run P
Density functional theory data (PBE-GGA) for a geometry-optimized Tb2Pm4Ho structure.

Output
Magnetic moment ... 0.00 μB per cell
Theoretical density ... 7.4 g cm⁻³

Lattice parameters (Å, degrees): 6.119 13.066 5.984 90.00 90.00 90.00
Space group Cmmm (No. 65)
One atom of each set of equivalent atoms:
Tb1 0.000 0.110 0.000 x4
Pm1 0.000 0.190 0.500 x4
Pm2 0.000 0.361 0.000 x4
Ho1 0.000 0.500 0.500 x2

---

Run Q
Density functional theory data (PBE-GGA) for a geometry-optimized Tb2Pm4Ho structure.

Output
Magnetic moment ... 0.00 μB per cell
Theoretical density ... 7.5 g cm⁻³

Lattice parameters (Å, degrees): 5.348 11.351 15.579 90.00 90.00 90.00
Space group Cmce (No. 64)
One atom of each set of equivalent atoms:
Tb1 0.000 0.107 0.156 x8
Pm1 0.000 0.099 0.694 x8
Pm2 0.000 0.205 0.930 x8
Ho1 0.000 0.000 0.500 x4

---

The data favor run Q; the next most stable structure lies 29.6 kJ/mol of atoms above it.

---

Run P
Density functional theory data (PBE-GGA) for a geometry-optimized Tb2PmHo6 structure.

Output
Magnetic moment ... 0.00 μB per cell
Theoretical density ... 8.5 g cm⁻³

Lattice parameters (Å, degrees): 10.631 10.631 5.017 90.00 90.00 90.00
Space group P4_2/mnm (No. 136)
One atom of each set of equivalent atoms:
Tb1 0.167 0.167 0.000 x4
Pm1 0.000 0.000 0.500 x2
Ho1 0.000 0.334 0.500 x8
Ho2 0.168 0.832 0.000 x4

---

Run Q
Density functional theory data (PBE-GGA) for a geometry-optimized Tb2PmHo6 structure.

Output
Magnetic moment ... 0.01 μB per cell
Theoretical density ... 8.5 g cm⁻³

Lattice parameters (Å, degrees): 5.613 29.124 3.461 90.00 90.00 90.00
Space group Cmmm (No. 65)
One atom of each set of equivalent atoms:
Tb1 0.000 0.167 0.000 x4
Pm1 0.000 0.500 0.000 x2
Ho1 0.000 0.056 0.500 x4
Ho2 0.000 0.277 0.500 x4
Ho3 0.000 0.388 0.500 x4

---

The data favor run P; the next most stable structure lies 4.9 kJ/mol of atoms above it.

---

Run P
Density functional theory data (PBE-GGA) for a geometry-optimized Tb2PmHo structure.

Output
Magnetic moment ... 0.00 μB per cell
Theoretical density ... 8.1 g cm⁻³

Lattice parameters (Å, degrees): 5.050 5.050 5.058 90.00 90.00 90.00
Space group P4/mmm (No. 123)
One atom of each set of equivalent atoms:
Tb1 0.000 0.500 0.000 x2
Pm1 0.000 0.000 0.500 x1
Ho1 0.500 0.500 0.500 x1

---

Run Q
Density functional theory data (PBE-GGA) for a geometry-optimized Tb2PmHo structure.

Output
Magnetic moment ... 0.03 μB per cell
Theoretical density ... 8.0 g cm⁻³

Lattice parameters (Å, degrees): 8.055 8.055 8.055 90.00 90.00 90.00
Space group Fm-3m (No. 225)
One atom of each set of equivalent atoms:
Tb1 0.250 0.250 0.250 x8
Pm1 0.000 0.000 0.000 x4
Ho1 0.000 0.000 0.500 x4

---

The data favor run P; the next most stable structure lies 12.2 kJ/mol of atoms above it.